Entry 1:
DFT (PBE-GGA) results for a relaxed structure of K2NpCrS4.

The structure in POSCAR format:
```
K2NpCrS4
1.0
-2.474 2.434 1.866
-4.477 -1.002 -4.630
1.600 -4.802 8.385
S K Np Cr
4 2 1 1
Direct
0.000 0.874 0.197
0.000 0.126 0.803
0.500 0.673 0.815
0.500 0.327 0.185
0.500 0.000 0.500
0.000 0.500 0.500
0.500 0.500 0.000
0.000 0.000 0.000
```

Results
VASP energy = -6.260 eV per atom


Entry 2:
DFT (PBE-GGA) results for a relaxed structure of K4Np3CrS8.

The structure in POSCAR format:
```
K4Np3CrS8
1.0
7.996 0.000 0.000
0.000 8.662 0.456
-3.998 -3.989 5.661
Np S K Cr
3 8 4 1
Direct
0.000 0.500 0.500
0.500 0.500 0.000
0.500 0.500 0.500
0.735 0.704 0.469
0.226 0.695 0.969
0.226 0.695 0.452
0.774 0.305 0.031
0.743 0.695 0.969
0.257 0.305 0.031
0.265 0.296 0.531
0.774 0.305 0.548
0.500 0.000 0.500
0.000 0.000 0.000
0.000 0.000 0.500
0.500 0.000 0.000
0.000 0.500 0.000
```

Results
VASP energy = -6.622 eV per atom


Entry 3:
DFT (PBE-GGA) results for a relaxed structure of K3Np2CrS6.

The structure in POSCAR format:
```
K3Np2CrS6
1.0
6.854 -0.001 0.000
-3.427 5.936 0.000
-1.143 -1.979 7.339
S Np K Cr
6 2 3 1
Direct
0.613 0.935 0.804
0.065 0.387 0.196
0.256 0.256 0.805
0.935 0.613 0.804
0.387 0.065 0.196
0.744 0.744 0.195
0.667 0.333 0.000
0.333 0.667 0.000
0.500 0.500 0.500
0.833 0.167 0.500
0.167 0.833 0.500
0.000 0.000 0.000
```

Results
VASP energy = -6.517 eV per atom


Entry 4:
DFT (PBE-GGA) results for a relaxed structure of K2Np2CrS6.

The structure in POSCAR format:
```
K2Np2CrS6
1.0
-4.556 -1.929 4.491
-1.476 -0.301 -6.510
4.692 -6.274 0.386
Np S K Cr
2 6 2 1
Direct
0.666 0.334 0.500
0.334 0.666 0.500
0.755 0.755 0.687
0.064 0.379 0.689
0.621 0.936 0.311
0.936 0.621 0.311
0.245 0.245 0.313
0.379 0.064 0.689
0.168 0.832 0.000
0.832 0.168 0.000
0.000 0.000 0.500
```

Results
VASP energy = -6.892 eV per atom


Entry 5:
DFT (PBE-GGA) results for a relaxed structure of K4Np3CrSe8.

The structure in POSCAR format:
```
K4Np3CrSe8
1.0
8.358 0.000 0.000
0.000 9.041 0.468
-4.179 -4.173 5.918
Se Cr Np K
8 1 3 4
Direct
0.226 0.698 0.453
0.774 0.302 0.547
0.264 0.291 0.527
0.226 0.698 0.972
0.746 0.698 0.972
0.254 0.302 0.028
0.736 0.709 0.473
0.774 0.302 0.028
0.000 0.500 0.000
0.500 0.500 0.500
0.500 0.500 0.000
0.000 0.500 0.500
0.000 0.000 0.500
0.500 0.000 0.000
0.000 0.000 0.000
0.500 0.000 0.500
```

Results
VASP energy = -6.175 eV per atom


Entry 6:
DFT (PBE-GGA) results for a relaxed structure of K3NpCr2Se6.

The structure in POSCAR format:
```
K3NpCr2Se6
1.0
6.867 0.001 -0.003
-3.431 5.949 -0.003
-1.148 -1.988 7.645
Cr K Se Np
2 3 6 1
Direct
0.667 0.333 0.000
0.333 0.667 0.000
0.500 0.500 0.500
0.161 0.839 0.500
0.839 0.161 0.500
0.936 0.579 0.809
0.421 0.064 0.191
0.579 0.936 0.809
0.706 0.706 0.189
0.064 0.421 0.191
0.294 0.294 0.811
0.000 0.000 0.000
```

Results
VASP energy = -5.656 eV per atom


Entry 7:
DFT (PBE-GGA) results for a relaxed structure of K3NpCr2Te6.

The structure in POSCAR format:
```
K3NpCr2Te6
1.0
-0.116 6.917 2.617
-5.555 -2.450 -4.224
-2.038 -4.102 7.238
K Te Cr Np
3 6 2 1
Direct
0.500 0.500 0.500
0.841 0.159 0.500
0.159 0.841 0.500
0.573 0.936 0.809
0.936 0.573 0.809
0.064 0.427 0.191
0.299 0.299 0.811
0.701 0.701 0.189
0.427 0.064 0.191
0.333 0.667 0.000
0.667 0.333 0.000
0.000 0.000 0.000
```

Results
VASP energy = -5.145 eV per atom